SrMoP2O | PBE+U | optimized geometry

Lattice parameters (Å, degrees): 5.3703 5.3703 4.2875 90.00 90.00 90.00
With the nearest neighbours (Å) after each atom.
Positions (direct):
Sr: 0.0000 0.0000 0.0000  2 O 2.14
Mo: 0.5000 0.5000 0.5000  8 P 3.44, 4 O 3.80
O: 0.0000 0.0000 0.5000  2 Sr 2.14
P: 0.0000 0.5000 0.0000  2 Sr 2.69
P: 0.5000 0.0000 0.0000  2 Sr 2.69

Properties
As for the excess energy over the best structure of this formula in the dataset: 45.25 kcal/mol of atoms. The total energy comes out at -3.56 eV per atom.